First-principles (PBE) data for CoCuAg after structural relaxation, as listed in Alexandria via LeMat-Bulk.

Cell and atoms, written as POSCAR:
```
CoCuAg
1.0
4.159 0.891 0.266
2.849 3.158 0.266
2.786 1.610 8.328
Co Cu Ag
2 2 2
direct
0.983 0.983 0.224
0.770 0.770 0.083
0.638 0.638 0.379
0.115 0.115 0.929
0.291 0.291 0.546
0.462 0.462 0.761
```

Output
Energy of formation from the pure elements (eV per atom): 0.34
E (eV for the cell shown): -26.06
SG: No. 12
Total moment (μB per formula unit): 1.64
Energy above the most stable polymorph in this dataset (kJ/mol of atoms): 5.1